Entry 1:
First-principles (PBE) data for Ac2DyAg3 after structural relaxation, as listed in Alexandria via LeMat-Bulk.

a = 3.836 Å, b = 3.836 Å, c = 11.634 Å
α = 90.00°, β = 90.00°, γ = 90.00°
Positions (direct):
Ag 0.000 0.000 0.362
Ag 0.000 0.000 0.638
Ag 0.000 0.000 0.000
Dy 0.500 0.500 0.500
Ac 0.500 0.500 0.824
Ac 0.500 0.500 0.176

Crystal system   tetragonal
DFT formation energy   -1.610 eV/f.u.
D(E_F)   3.39 states/eV/cell
Space-group type   No. 123


Entry 2:
First-principles (PBE) data for RbH2Pd after structural relaxation, as listed in Alexandria via LeMat-Bulk.

a = 5.757 Å, b = 5.757 Å, c = 5.467 Å
α = 90.00°, β = 90.00°, γ = 116.27°
Positions (direct):
Rb 0.323 0.677 0.750
Rb 0.677 0.323 0.250
Pd 0.000 0.000 0.000
Pd 0.000 0.000 0.500
H 0.843 0.791 0.750
H 0.157 0.209 0.250
H 0.209 0.157 0.750
H 0.791 0.843 0.250

ΔE to the lowest computed polymorph   0.0 meV/atom
Crystal system   orthorhombic
D(E_F)   1.30 states/eV/cell
Space-group type   No. 63


Entry 3:
First-principles (PBE) data for Cs2NaGaCl6 after structural relaxation, as listed in Alexandria via LeMat-Bulk.

a = 7.438 Å, b = 7.438 Å, c = 7.438 Å
α = 60.00°, β = 60.00°, γ = 60.00°
Positions (direct):
Na 0.000 0.000 0.000
Cs 0.250 0.250 0.250
Cs 0.750 0.750 0.750
Cl 0.271 0.271 0.729
Cl 0.729 0.271 0.271
Cl 0.271 0.729 0.729
Cl 0.729 0.729 0.271
Cl 0.271 0.729 0.271
Cl 0.729 0.271 0.729
Ga 0.500 0.500 0.500

Crystal system   cubic
D(E_F)   0.00 states/eV/cell
Energy relative to the elements, uncorrected   -1625 meV per atom
Space-group type   No. 225


Entry 4:
First-principles (PBE) data for CsPu2CdBr8 after structural relaxation, as listed in Alexandria via LeMat-Bulk.

a = 7.223 Å, b = 7.024 Å, c = 9.229 Å
α = 89.94°, β = 89.96°, γ = 85.67°
Positions (direct):
Br 0.843 0.256 0.204
Br 0.843 0.256 0.796
Br 0.644 0.733 0.000
Br 0.392 0.279 0.500
Br 0.356 0.267 0.000
Br 0.608 0.721 0.500
Br 0.157 0.744 0.204
Br 0.157 0.744 0.796
Cd 0.000 0.000 0.000
Pu 0.500 0.500 0.240
Pu 0.500 0.500 0.760
Cs 0.000 0.000 0.500

Crystal system   triclinic
D(E_F)   28.85 states/eV/cell
Energy relative to the elements, uncorrected   -1358 meV per atom
Space-group type   No. 2


Entry 5:
First-principles (PBE) data for CaPrH after structural relaxation, as listed in Alexandria via LeMat-Bulk.

a = 3.705 Å, b = 3.705 Å, c = 6.185 Å
α = 90.00°, β = 90.00°, γ = 120.00°
Positions (direct):
Ca 0.000 0.000 0.091
H 0.667 0.333 0.338
Pr 0.333 0.667 0.571

ΔE to the lowest computed polymorph   0.0 meV/atom
Crystal system   trigonal
D(E_F)   2.87 states/eV/cell
Space-group type   No. 156


Entry 6:
First-principles (PBE) data for Ag5SbAu4 after structural relaxation, as listed in Alexandria via LeMat-Bulk.

a = 5.389 Å, b = 6.714 Å, c = 6.714 Å
α = 80.73°, β = 66.34°, γ = 66.34°
Positions (direct):
Au 0.317 0.384 0.878
Au 0.195 0.122 0.384
Au 0.579 0.616 0.122
Au 0.701 0.878 0.616
Ag 0.598 0.279 0.417
Ag 0.294 0.721 0.583
Ag 0.877 0.417 0.721
Ag 0.727 0.000 0.000
Ag 0.015 0.583 0.279
Sb 0.209 0.000 0.000

ΔE to the lowest computed polymorph   151.8 meV/atom
Crystal system   tetragonal
D(E_F)   3.87 states/eV/cell
Energy relative to the elements, uncorrected   134 meV per atom
Space-group type   No. 79